Entry 1
DFT (PBE) results for crystalline Ta2Mo6W at its relaxed geometry.

a = 6.9826 Å, b = 6.9826 Å, c = 5.2963 Å
α = 110.22°, β = 110.22°, γ = 37.66°
Element x y z (fractional)
Ta 0.1129 0.1129 0.0593
Ta 0.8871 0.8871 0.9407
Mo 0.2226 0.2226 0.6166
Mo 0.3336 0.3336 0.1714
Mo 0.4453 0.4453 0.7216
Mo 0.5547 0.5547 0.2784
Mo 0.6664 0.6664 0.8286
Mo 0.7774 0.7774 0.3834
W 0.0000 0.0000 0.5000

- D(E_F): 4.47 states/eV/f.u.
- Density: 12.7 Mg/m³
- Size of the total moment: 0.000 μB/f.u.


Entry 2
DFT (PBE) results for crystalline Ta2Mo6W at its relaxed geometry.

a = 7.8921 Å, b = 7.8921 Å, c = 2.7067 Å
α = 93.50°, β = 93.50°, γ = 62.89°
Element x y z (fractional)
Ta 0.1678 0.1678 0.4869
Ta 0.8322 0.8322 0.5131
Mo 0.1630 0.5044 0.1850
Mo 0.1746 0.8254 0.0000
Mo 0.4956 0.8370 0.8150
Mo 0.5044 0.1630 0.1850
Mo 0.8254 0.1746 0.0000
Mo 0.8370 0.4956 0.8150
W 0.5000 0.5000 0.5000

- D(E_F): 6.58 states/eV/f.u.
- Density: 12.4 Mg/m³
- Size of the total moment: 0.000 μB/f.u.


entry 1 has the most favorable energy; the next structure is 0.246 eV/atom above.


Entry 1
DFT (PBE) results for crystalline Ta2MoW4 at its relaxed geometry.

a = 4.5465 Å, b = 4.4407 Å, c = 6.2781 Å
α = 90.00°, β = 90.13°, γ = 90.00°
Element x y z (fractional)
Ta 0.0000 0.0000 0.0000
Ta 0.4997 0.0000 0.2663
Mo 0.9998 0.5000 0.7413
W 0.9998 0.0000 0.5070
W 0.9998 0.5000 0.2569
W 0.4999 0.0000 0.7462
W 0.5000 0.5000 0.9913

- D(E_F): 5.91 states/eV/f.u.
- Density: 15.6 Mg/m³
- Size of the total moment: 0.000 μB/f.u.


Entry 2
DFT (PBE) results for crystalline Ta2MoW4 at its relaxed geometry.

a = 7.0352 Å, b = 7.0352 Å, c = 7.0352 Å
α = 37.56°, β = 37.56°, γ = 37.56°
Element x y z (fractional)
Ta 0.2138 0.2138 0.2138
Ta 0.7862 0.7862 0.7862
Mo 0.5000 0.5000 0.5000
W 0.0689 0.0689 0.0689
W 0.3586 0.3586 0.3586
W 0.6414 0.6414 0.6414
W 0.9311 0.9311 0.9311

- D(E_F): 3.15 states/eV/f.u.
- Density: 17.1 Mg/m³
- Size of the total moment: 0.000 μB/f.u.


entry 2 has the most favorable energy; the next structure is 0.513 eV/atom above.


Entry 1
DFT (PBE) results for crystalline TaMo6W8 at its relaxed geometry.

a = 10.1111 Å, b = 10.1111 Å, c = 2.9144 Å
α = 90.00°, β = 90.00°, γ = 120.00°
Element x y z (fractional)
Ta 0.0000 0.0000 0.0000
Mo 0.1014 0.4723 0.1337
Mo 0.3709 0.8986 0.1337
Mo 0.4723 0.3709 0.8663
Mo 0.5277 0.6291 0.1337
Mo 0.6291 0.1014 0.8663
Mo 0.8986 0.5277 0.8663
W 0.0854 0.7967 0.3528
W 0.2033 0.2887 0.3528
W 0.2887 0.0854 0.6472
W 0.3333 0.6667 0.6251
W 0.6667 0.3333 0.3749
W 0.7113 0.9146 0.3528
W 0.7967 0.7113 0.6472
W 0.9146 0.2033 0.6472

- D(E_F): 11.10 states/eV/f.u.
- Density: 14.3 Mg/m³
- Size of the total moment: 0.000 μB/f.u.


Entry 2
DFT (PBE) results for crystalline TaMo6W8 at its relaxed geometry.

a = 7.0838 Å, b = 7.0838 Å, c = 7.0838 Å
α = 59.51°, β = 59.51°, γ = 59.51°
Element x y z (fractional)
Ta 0.0000 0.0000 0.0000
Mo 0.0576 0.5319 0.2854
Mo 0.2854 0.0576 0.5319
Mo 0.4681 0.7146 0.9424
Mo 0.5319 0.2854 0.0576
Mo 0.7146 0.9424 0.4681
Mo 0.9424 0.4681 0.7146
W 0.1325 0.6454 0.8334
W 0.1666 0.8675 0.3546
W 0.3546 0.1666 0.8675
W 0.4238 0.4238 0.4238
W 0.5762 0.5762 0.5762
W 0.6454 0.8334 0.1325
W 0.8334 0.1325 0.6454
W 0.8675 0.3546 0.1666

- D(E_F): 14.88 states/eV/f.u.
- Density: 14.9 Mg/m³
- Size of the total moment: 0.000 μB/f.u.


entry 2 has the most favorable energy; the next structure is 0.301 eV/atom above.


Entry 1
DFT (PBE) results for crystalline TaMo6W2 at its relaxed geometry.

a = 4.5000 Å, b = 5.2812 Å, c = 6.9273 Å
α = 69.94°, β = 71.15°, γ = 90.00°
Element x y z (fractional)
Ta 0.0000 0.0000 0.0000
Mo 0.2231 0.1130 0.5535
Mo 0.3334 0.6681 0.3336
Mo 0.4441 0.2248 0.1123
Mo 0.5559 0.7752 0.8877
Mo 0.6666 0.3319 0.6664
Mo 0.7769 0.8870 0.4465
W 0.1119 0.5606 0.7761
W 0.8881 0.4394 0.2239

- D(E_F): 4.99 states/eV/f.u.
- Density: 12.9 Mg/m³
- Size of the total moment: 0.000 μB/f.u.


Entry 2
DFT (PBE) results for crystalline TaMo6W2 at its relaxed geometry.

a = 5.2031 Å, b = 5.2031 Å, c = 6.9562 Å
α = 111.70°, β = 111.70°, γ = 63.55°
Element x y z (fractional)
Ta 0.0000 0.0000 0.0000
Mo 0.1971 0.6659 0.2876
Mo 0.2255 0.2255 0.4480
Mo 0.3341 0.8029 0.7124
Mo 0.6659 0.1971 0.2876
Mo 0.7745 0.7745 0.5520
Mo 0.8029 0.3341 0.7124
W 0.3338 0.3338 0.8721
W 0.6662 0.6662 0.1279

- D(E_F): 8.32 states/eV/f.u.
- Density: 12.3 Mg/m³
- Size of the total moment: 0.000 μB/f.u.


entry 1 has the most favorable energy; the next structure is 0.510 eV/atom above.